Density functional theory data (PBE) for a relaxed structure of KTeIr2.

Lattice parameters (Å, degrees): 2.926 4.065 7.859 90.00 90.00 90.00
Space group Pmm2 (No. 25)
Inequivalent atoms, fractional coordinates:
K: 0.000 0.000 0.000
Te: 0.500 0.500 0.346
Ir: 0.000 0.000 0.586
Ir: 0.500 0.500 0.688

Summary:
For the total moment, the calculation gives 0.000 μB per cell. Its formation energy without anion corrections is 1.4 eV/f.u.